Material: Ca2TeSe
Method: DFT, PBE
State: optimized geometry

a = 3.961 Å, b = 4.168 Å, c = 7.613 Å
α = 85.55°, β = 90.00°, γ = 90.00°
Atoms (fractional coordinates):
Se: 0.500 0.250 0.250
Ca: 0.000 0.190 0.991
Ca: 0.000 0.310 0.509
Te: 0.500 0.750 0.750

Summary:
ΔE_f (raw) ... -1.5298 eV/atom
VASP energy ... -16.75 eV/cell